This record from Alexandria describes BaCoHg2 after structural relaxation. The functional is PBE.

Summary:
* space group: I4/mmm (139)
* energy of formation from the pure elements: 243 meV/atom
* density of states at the Fermi level: 6.40 states/eV/cell

Cell lengths 5.6817, 5.6817, 5.6817 Å; angles 129.29, 129.29, 74.55 degrees
Last column: magnetic moment on the atom in μB.
Element x y z (fractional)
Hg (0.0000, 0.0000, 0.0000)  -0.03
Co (0.7500, 0.2500, 0.5000)  1.73
Hg (0.5000, 0.5000, 0.0000)  -0.03
Ba (0.2500, 0.7500, 0.5000)  -0.08

=====

This record from Alexandria describes Pm3SmEr6Tm2 after structural relaxation. The functional is PBE.

Summary:
* space group: C2/m (12)
* energy of formation from the pure elements: 20 meV/atom
* density of states at the Fermi level: 15.59 states/eV/cell

Cell lengths 6.1479, 6.1479, 11.7251 Å; angles 95.00, 95.00, 119.97 degrees
Element x y z (fractional)
Pm (0.5000, 0.5000, 0.5000)
Tm (0.6668, 0.3332, 0.0000)
Pm (0.1669, 0.8331, 0.5000)
Er (0.4163, 0.0825, 0.2470)
Er (0.2515, 0.2515, 0.7530)
Er (0.5837, 0.9175, 0.7530)
Pm (0.8331, 0.1669, 0.5000)
Er (0.7485, 0.7485, 0.2470)
Er (0.9175, 0.5837, 0.7530)
Er (0.0825, 0.4163, 0.2470)
Tm (0.3332, 0.6668, 0.0000)
Sm (0.0000, 0.0000, 0.0000)